8
Lattice="-2.304 2.304 11.676 2.304 -2.304 11.676 2.304 2.304 -11.676" Properties=species:S:1:pos:R:3 comment="PBEsol BaZnBi2, relaxed" space_group="I4/mmm, No. 139" total_magnetization_mub_per_fu=0.0 total_energy_ev_per_cell=-28.6 pbc="T T T"
Ba 0.000 0.000 2.832
Ba 0.000 0.000 20.521
Zn 2.304 0.000 5.838
Zn 0.000 2.304 5.838
Bi 2.304 0.000 0.000
Bi 0.000 0.000 7.512
Bi 0.000 2.304 0.000
Bi 0.000 0.000 15.841